# RbPa4Pd3S12, relaxed, DFT PBE
# Electronic total energy, eV/atom: -6.34
# Density of states at the Fermi level, states/eV per atom: 0.814
data_RbPa4Pd3S12
_chemical_formula_sum 'Rb2 Pa8 Pd6 S24'
_cell_length_a 9.814
_cell_length_b 9.814
_cell_length_c 9.814
_cell_angle_alpha 90.00
_cell_angle_beta 90.00
_cell_angle_gamma 90.00
_space_group_name_H-M_alt 'I m -3'
_space_group_IT_number 204
_space_group_name_Hall '-I 2 2 3'
loop_
_atom_site_label
_atom_site_fract_x
_atom_site_fract_y
_atom_site_fract_z
Rb1 0.000 0.000 0.000
Pa1 0.250 0.250 0.250
Pd1 0.000 0.000 0.500
S1 0.000 0.316 0.166


# CaZrAgBr2, relaxed, DFT PBE
# Electronic total energy, eV/atom: -2.88
# Relative energy among the computed polymorphs, eV per atom: 0.432
# Density of states at the Fermi level, states/eV per atom: 1.303
data_CaZrAgBr2
_chemical_formula_sum 'Ca1 Zr1 Ag1 Br2'
_cell_length_a 5.338
_cell_length_b 5.338
_cell_length_c 5.761
_cell_angle_alpha 90.00
_cell_angle_beta 90.00
_cell_angle_gamma 90.00
_space_group_name_H-M_alt 'P 4/m m m'
_space_group_IT_number 123
_space_group_name_Hall '-P 4 2'
loop_
_atom_site_label
_atom_site_fract_x
_atom_site_fract_y
_atom_site_fract_z
Ca1 0.000 0.000 0.000
Zr1 0.500 0.500 0.000
Ag1 0.000 0.000 0.500
Br1 0.000 0.500 0.500


# Tm8Hg2Ru, relaxed, DFT PBE
# Electronic total energy, eV/atom: -4.44
# Density of states at the Fermi level, states/eV per atom: 0.718
# E_form, eV per atom: -0.29
data_Tm8Hg2Ru
_chemical_formula_sum 'Tm16 Hg4 Ru2'
_cell_length_a 17.272
_cell_length_b 5.204
_cell_length_c 6.814
_cell_angle_alpha 90.00
_cell_angle_beta 109.41
_cell_angle_gamma 90.00
_space_group_name_H-M_alt 'C 1 2/m 1'
_space_group_IT_number 12
loop_
_space_group_symop_operation_xyz
'x,y,z'
'-x,-y,-z'
'-x,y,-z'
'x,-y,z'
'x+1/2,y+1/2,z'
'-x+1/2,-y+1/2,-z'
'-x+1/2,y+1/2,-z'
'x+1/2,-y+1/2,z'
loop_
_atom_site_label
_atom_site_fract_x
_atom_site_fract_y
_atom_site_fract_z
Tm1 0.023 0.000 0.289
Tm2 0.091 0.500 0.924
Tm3 0.154 0.500 0.455
Tm4 0.197 0.000 0.794
Hg1 0.183 0.000 0.210
Ru1 0.000 0.500 0.500